Compound: SrTeAs
Source: the Alexandria database
Functional: SCAN
Structure: single point on PBEsol structure

Values from the calculation:
Uncorrected formation energy   -2.22 eV/f.u.

Lattice parameters (Å, degrees): 4.145 4.914 4.914 120.00 90.00 90.00
Atoms (fractional coordinates):
Sr 0.667 0.333 0.667
As 0.161 0.000 0.000
Te 0.171 0.667 0.333

Compound: LiCa2Tl
Source: the Alexandria database
Functional: SCAN
Structure: single point on PBEsol structure

Values from the calculation:
Energy relative to the elements   -124.0 kJ/mol of formula units

Lattice parameters (Å, degrees): 3.759 5.436 6.491 114.75 106.83 90.00
Atoms (fractional coordinates):
Tl 0.227 0.727 0.454
Ca 0.972 0.972 0.944
Ca 0.761 0.261 0.523
Li 0.539 0.539 0.079

Compound: Zn3Cu6As4S12
Source: the Alexandria database
Functional: SCAN
Structure: single point on PBEsol structure

Values from the calculation:
Uncorrected formation energy   -10.48 eV/f.u.

Lattice parameters (Å, degrees): 8.226 8.268 8.289 107.50 107.48 107.16
Atoms (fractional coordinates):
Zn 0.401 0.166 0.460
Zn 0.073 0.220 0.701
Zn 0.232 0.701 0.075
Cu 0.164 0.458 0.393
Cu 0.459 0.395 0.167
Cu 0.703 0.077 0.220
Cu 0.295 0.910 0.761
Cu 0.911 0.763 0.304
Cu 0.763 0.301 0.917
As 0.970 0.981 0.974
As 0.569 0.626 0.849
As 0.626 0.840 0.560
As 0.840 0.565 0.618
S 0.222 0.133 0.923
S 0.127 0.914 0.216
S 0.919 0.221 0.136
S 0.293 0.367 0.609
S 0.365 0.607 0.297
S 0.615 0.294 0.359
S 0.450 0.827 0.977
S 0.816 0.977 0.439
S 0.974 0.444 0.822
S 0.510 0.051 0.671
S 0.051 0.662 0.508
S 0.664 0.510 0.056

Compound: MnB2
Source: the Alexandria database
Functional: SCAN
Structure: single point on PBEsol structure

Values from the calculation:
Energy relative to the elements   -99.1 kJ/mol of formula units

Lattice parameters (Å, degrees): 2.869 2.971 2.971 120.00 90.00 90.00
Atoms (fractional coordinates):
B 0.500 0.667 0.333
B 0.500 0.333 0.667
Mn 0.000 0.000 0.000

Compound: Tl2CrAs
Source: the Alexandria database
Functional: SCAN
Structure: single point on PBEsol structure

Values from the calculation:
Energy relative to the elements   -2.2 kJ/mol of formula units

Lattice parameters (Å, degrees): 3.309 3.309 8.090 90.00 90.00 90.00
Atoms (fractional coordinates):
As 0.000 0.000 0.575
Cr 0.500 0.500 0.685
Tl 0.000 0.000 0.955
Tl 0.500 0.500 0.284

Compound: ScRh3
Source: the Alexandria database
Functional: SCAN
Structure: single point on PBEsol structure

Values from the calculation:
Energy relative to the elements   -262.2 kJ/mol of formula units

Lattice parameters (Å, degrees): 3.869 3.869 3.869 90.00 90.00 90.00
Atoms (fractional coordinates):
Sc 0.000 0.000 0.000
Rh 0.500 0.500 0.000
Rh 0.500 0.000 0.500
Rh 0.000 0.500 0.500

Values of calculated density, in order: 5.56 4.24 4.51 5.80 10.04 10.14, all in g/cm3.
Values of energy, in order: -27.312 -23.840 -13.541 -11.380 -45.829 -29.567, all in eV/atom.
Values of size of the total moment, in order: 0.00 0.12 0.00 2.00 3.34 0.00, all in Bohr magnetons per cell.